Record 1
# NaZn2PtC

Crystalline NaZn2PtC at its relaxed geometry (GGA-PBE, Alexandria).

Calculated values
- Space-group type: P4/mmm
- Size of the total moment: 0.87 μB/cell
- Uncorrected energy: -3.26 eV per atom

Unit cell a=4.0268 b=4.0268 c=4.6778 alpha=90.00 beta=90.00 gamma=90.00
Closest atoms and distances in Å follow each position.
Positions (direct):
1 Na 0.0000 0.0000 0.0000  2 C 2.34
2 Zn 0.0000 0.5000 0.5000  2 C 2.01
3 Zn 0.5000 0.0000 0.5000  2 C 2.01
4 Pt 0.5000 0.5000 0.0000  4 Na 2.85, 8 Zn 3.09
5 C 0.0000 0.0000 0.5000  4 Zn 2.01

---

Record 2
# RbLi3Zn

Crystalline RbLi3Zn at its relaxed geometry (GGA-PBE, Alexandria).

Calculated values
- Space-group type: Pm-3m
- Size of the total moment: 0.00 μB/cell
- Uncorrected energy: -0.71 eV per atom
- Energy above the lowest structure with this stoichiometry: 3.77 eV per formula unit

Unit cell a=5.8308 b=5.8308 c=5.8308 alpha=90.00 beta=90.00 gamma=90.00
Closest atoms and distances in Å follow each position.
Positions (direct):
1 Rb 0.0000 0.0000 0.0000  6 Li 2.92
2 Li 0.0000 0.0000 0.5000  2 Rb 2.92
3 Li 0.0000 0.5000 0.0000  2 Rb 2.92
4 Li 0.5000 0.0000 0.0000  2 Rb 2.92
5 Zn 0.5000 0.5000 0.5000  12 Li 4.12

---

Record 3
# Cs2KMoI6

Crystalline Cs2KMoI6 at its relaxed geometry (GGA-PBE, Alexandria).

Calculated values
- Formation energy without anion corrections: -0.962 eV per atom
- Space-group type: Pmmn
- Size of the total moment: 6.00 μB/cell
- Uncorrected energy: -3.26 eV per atom

Unit cell a=8.6822 b=12.4026 c=8.8868 alpha=90.00 beta=90.00 gamma=90.00
Closest atoms and distances in Å follow each position.
Positions (direct):
1 Cs 0.2500 0.0087 0.2352  11 I 4.20-4.64
2 Cs 0.2500 0.4913 0.2352  11 I 4.20-4.64
3 Cs 0.7500 0.5087 0.7648  11 I 4.20-4.64
4 Cs 0.7500 0.9913 0.7648  11 I 4.20-4.64
5 K 0.2500 0.2500 0.7342  6 I 3.38-3.41
6 K 0.7500 0.7500 0.2658  6 I 3.38-3.41
7 Mo 0.2500 0.7500 0.7630  6 I 2.82
8 Mo 0.7500 0.2500 0.2370  6 I 2.82
9 I 0.0204 0.7500 0.5391  1 Mo 2.82
10 I 0.0209 0.7500 0.9882  1 Mo 2.82
11 I 0.2500 0.5227 0.7646  1 Mo 2.82
12 I 0.2500 0.9773 0.7646  1 Mo 2.82
13 I 0.4791 0.7500 0.9882  1 Mo 2.82
14 I 0.4796 0.7500 0.5391  1 Mo 2.82
15 I 0.5204 0.2500 0.4609  1 Mo 2.82
16 I 0.5209 0.2500 0.0118  1 Mo 2.82
17 I 0.7500 0.0227 0.2354  1 Mo 2.82
18 I 0.7500 0.4773 0.2354  1 Mo 2.82
19 I 0.9791 0.2500 0.0118  1 Mo 2.82
20 I 0.9796 0.2500 0.4609  1 Mo 2.82